Material: RbGe2As2
Method: DFT, PBE
State: relaxed

The structure in extended XYZ format:
```
10
Lattice="-1.4333 5.1783 -6.6043 -7.9146 -3.0625 -0.6835 -1.1577 2.4985 2.2103" Properties=species:S:1:pos:R:3 pbc="T T T"
As -5.8275 0.0103 -0.2435
As -8.3147 1.9144 -3.6985
As -4.6780 4.6040 -4.8341
As -2.1909 2.6999 -1.3791
Ge -7.5540 -0.7171 -3.1459
Ge -6.1375 2.6974 -6.2638
Ge -1.7939 2.8330 -4.1420
Ge -3.2104 -0.5816 -1.0241
Rb 0.0000 0.0000 0.0000
Rb -4.6740 1.0579 -3.6439
```

Computed properties:
- energy of formation from the pure elements (eV/atom) = 0.07
- DOS at the Fermi energy (states/eV per atom) = 0.40
- total magnetization (μB per formula unit) = 0.00

=====

Material: Rb3Ge2As3
Method: DFT, PBE
State: relaxed

The structure in extended XYZ format:
```
16
Lattice="5.1519 0.0000 0.0000 -2.5760 6.7784 0.0000 0.0000 0.0000 14.6738" Properties=species:S:1:pos:R:3 pbc="T T T"
Rb 2.5760 5.7450 5.7189
Rb 0.0000 1.0334 13.0558
Rb 2.5760 5.7450 1.6180
Rb 0.0000 1.0334 8.9549
Rb 2.5760 1.7416 3.6685
Rb 0.0000 5.0368 11.0054
Ge 2.5760 3.9089 13.1858
Ge 0.0000 2.8695 5.8489
Ge 2.5760 3.9089 8.8249
Ge 0.0000 2.8695 1.4880
As 2.5760 2.4494 6.7888
As 0.0000 4.3290 14.1257
As 2.5760 2.4494 0.5481
As 0.0000 4.3290 7.8850
As 0.0000 4.3148 3.6685
As 2.5760 2.4636 11.0054
```

Computed properties:
- energy of formation from the pure elements (eV/atom) = -0.23
- DOS at the Fermi energy (states/eV per atom) = 0.42
- total magnetization (μB per formula unit) = 0.00

=====

Material: Rb2Ge3As2
Method: DFT, PBE
State: relaxed

The structure in extended XYZ format:
```
7
Lattice="3.8108 0.0000 0.0000 -1.9054 7.4599 0.7123 0.0000 -3.2818 7.5101" Properties=species:S:1:pos:R:3 pbc="T T T"
Rb 1.9054 4.5359 2.5865
Rb 0.0000 -0.3578 5.6359
Ge 1.9054 0.0000 0.0000
Ge 1.9054 0.3594 2.4990
Ge 0.0000 3.8186 5.7234
As 1.9054 2.4384 6.7021
As 0.0000 1.7397 1.5204
```

Computed properties:
- energy of formation from the pure elements (eV/atom) = -0.15
- DOS at the Fermi energy (states/eV per atom) = 0.03
- total magnetization (μB per formula unit) = 0.00

=====

Material: Rb3Ge5As2
Method: DFT, PBE
State: relaxed

The structure in extended XYZ format:
```
20
Lattice="6.4116 0.0000 0.0000 3.2058 9.9803 -2.1010 3.2058 0.6228 10.1800" Properties=species:S:1:pos:R:3 pbc="T T T"
Rb 1.6029 0.0000 0.0000
Rb 4.8087 0.0000 0.0000
Rb 6.4116 4.3115 8.0732
Rb 6.4116 6.2916 0.0058
Rb 9.6174 8.9279 2.0145
Rb 3.2058 1.6752 6.0645
Ge 4.8087 5.3015 4.0395
Ge 8.0145 5.3015 4.0395
Ge 8.0145 7.6125 5.8003
Ge 8.0145 2.9906 2.2787
Ge 4.8087 2.9906 2.2787
Ge 4.8087 7.6125 5.8003
Ge 3.2058 5.0761 1.8621
Ge 9.6174 5.5269 6.2169
Ge 6.4116 3.1424 4.4000
Ge 6.4116 7.4607 3.6790
As 6.4116 7.6553 7.7513
As 6.4116 2.9477 0.3277
As 9.6174 9.5049 5.3239
As 3.2058 1.0982 2.7551
```

Computed properties:
- energy of formation from the pure elements (eV/atom) = -0.12
- DOS at the Fermi energy (states/eV per atom) = 0.01
- total magnetization (μB per formula unit) = 0.00

=====

Material: RbGeAs4
Method: DFT, PBE
State: relaxed

The structure in extended XYZ format:
```
12
Lattice="8.1275 0.0000 1.8310 0.0000 9.3331 0.0000 0.1895 -4.6666 5.0589" Properties=species:S:1:pos:R:3 pbc="T T T"
Rb 6.7042 4.6666 5.0906
Rb 1.6127 0.0000 1.7992
Ge 1.3609 4.6666 0.7348
Ge 6.9560 0.0000 6.1550
As 2.4597 4.6666 3.0108
As 3.8627 -1.2746 4.5069
As 0.0000 2.7766 0.0000
As 4.4543 3.3920 2.3829
As 5.8573 0.0000 3.8790
As 4.4543 5.9411 2.3829
As 0.0000 6.5565 0.0000
As 3.8627 1.2746 4.5069
```

Computed properties:
- energy of formation from the pure elements (eV/atom) = -0.03
- DOS at the Fermi energy (states/eV per atom) = 0.13
- total magnetization (μB per formula unit) = 0.00

=====

Material: RbGe3As3
Method: DFT, PBE
State: relaxed

The structure in extended XYZ format:
```
28
Lattice="3.8864 0.0000 0.0000 0.0000 10.1875 0.0000 0.0000 0.0000 20.0581" Properties=species:S:1:pos:R:3 pbc="T T T"
Rb 0.9716 2.5710 10.9789
Rb 0.9716 7.6647 19.1082
Rb 2.9148 7.6165 9.0792
Rb 2.9148 2.5228 0.9499
Ge 0.9716 3.4650 16.8145
Ge 0.9716 8.5587 13.2726
Ge 2.9148 6.7225 3.2436
Ge 2.9148 1.6287 6.7854
Ge 0.9716 3.8997 4.9018
Ge 0.9716 8.9934 5.1272
Ge 2.9148 6.2878 15.1562
Ge 2.9148 1.1940 14.9309
Ge 0.9716 4.9767 7.2593
Ge 0.9716 10.0704 2.7697
Ge 2.9148 5.2108 12.7987
Ge 2.9148 0.1171 17.2884
As 0.9716 0.1307 7.2632
As 0.9716 5.2245 2.7658
As 2.9148 10.0568 12.7948
As 2.9148 4.9630 17.2923
As 0.9716 1.4772 18.2559
As 0.9716 6.5710 11.8312
As 2.9148 8.7102 1.8021
As 2.9148 3.6165 8.2269
As 0.9716 2.7370 14.4676
As 0.9716 7.8307 15.6195
As 2.9148 7.4505 5.5904
As 2.9148 2.3568 4.4386
```

Computed properties:
- energy of formation from the pure elements (eV/atom) = -0.21
- relative energy among the computed polymorphs (meV per atom) = 0
- total magnetization (μB per formula unit) = 0.00